Record 1
Tl5Hg3Sb3 | PBE-GGA | optimized geometry

Results
ΔE_f (raw): 0.11 eV/atom

Cell: 10.6896 10.6896 3.4760 Å, 90.00 90.00 120.00°
Space group P-62m (No. 189)
Unique sites:
Tl: 0.0000 0.6570 0.0000 (multiplicity 3)
Tl: 0.3333 0.6667 0.0000 (multiplicity 2)
Hg: 0.0000 0.1637 0.0000 (multiplicity 3)
Sb: 0.0000 0.3977 0.5000 (multiplicity 3)

Record 2
Tl2Hg4Sb3 | PBE-GGA | optimized geometry

Results
ΔE_f (raw): 0.06 eV/atom

Cell: 12.891 4.453 11.135 Å, 90.00 123.67 90.00°
Space group C2/m (No. 12)
Unique sites:
Tl: 0.111 0.000 0.405 (multiplicity 4)
Hg: 0.116 0.500 0.655 (multiplicity 4)
Hg: 0.170 0.000 0.896 (multiplicity 4)
Sb: 0.000 0.000 0.000 (multiplicity 2)
Sb: 0.169 0.500 0.223 (multiplicity 4)

Record 3
TlHg2Sb | PBE-GGA | optimized geometry

Results
ΔE_f (raw): 0.09 eV/atom

Cell: 3.988 5.430 10.267 Å, 90.00 90.00 90.00°
Space group Cmmm (No. 65)
Unique sites:
Tl: 0.000 0.000 0.000 (multiplicity 2)
Hg: 0.000 0.500 0.256 (multiplicity 4)
Sb: 0.000 0.000 0.500 (multiplicity 2)